Dy2FeOs after structural relaxation, computed with PBE-GGA.

The structure in CIF format:
```
data_Dy2FeOs
_chemical_formula_sum 'Dy6 Fe3 Os3'
_cell_length_a 3.2217
_cell_length_b 3.2217
_cell_length_c 28.9892
_cell_angle_alpha 90.00
_cell_angle_beta 90.00
_cell_angle_gamma 120.00
_space_group_name_H-M_alt 'R -3 m'
_space_group_IT_number 166
_space_group_name_Hall '-R 3 2"'
loop_
_atom_site_label
_atom_site_type_symbol
_atom_site_fract_x
_atom_site_fract_y
_atom_site_fract_z
_atom_site_occupancy
Dy1 Dy 0.0000 0.0000 0.0929 1
Fe1 Fe 0.0000 0.0000 0.0000 1
Os1 Os 0.0000 0.0000 0.5000 1
```

Energy of formation in eV/f.u.: 2.6
Magnetic moment in Bohr magnetons per cell: 5.93

DyFe2Os after structural relaxation, computed with PBE-GGA.

The structure in CIF format:
```
data_DyFe2Os
_chemical_formula_sum 'Dy1 Fe2 Os1'
_cell_length_a 2.810
_cell_length_b 4.129
_cell_length_c 5.706
_cell_angle_alpha 90.00
_cell_angle_beta 103.91
_cell_angle_gamma 90.00
_space_group_name_H-M_alt 'P 1 2/m 1'
_space_group_IT_number 10
_space_group_name_Hall '-P 2y'
loop_
_atom_site_label
_atom_site_type_symbol
_atom_site_fract_x
_atom_site_fract_y
_atom_site_fract_z
_atom_site_occupancy
Dy1 Dy 0.000 0.000 0.000 1
Fe1 Fe 0.452 0.500 0.693 1
Os1 Os 0.000 0.000 0.500 1
```

Energy of formation in eV/f.u.: 1.1
Magnetic moment in Bohr magnetons per cell: 4.57

Dy2Fe3Os after structural relaxation, computed with PBE-GGA.

The structure in CIF format:
```
data_Dy2Fe3Os
_chemical_formula_sum 'Dy4 Fe6 Os2'
_cell_length_a 8.959
_cell_length_b 5.163
_cell_length_c 5.219
_cell_angle_alpha 90.00
_cell_angle_beta 124.88
_cell_angle_gamma 90.00
_space_group_name_H-M_alt 'C 1 2/m 1'
_space_group_IT_number 12
_space_group_name_Hall '-C 2y'
loop_
_atom_site_label
_atom_site_type_symbol
_atom_site_fract_x
_atom_site_fract_y
_atom_site_fract_z
_atom_site_occupancy
Dy1 Dy 0.125 0.000 0.376 1
Fe1 Fe 0.000 0.500 0.000 1
Fe2 Fe 0.250 0.250 0.000 1
Os1 Os 0.000 0.500 0.500 1
```

Energy of formation in eV/f.u.: -1.0
Magnetic moment in Bohr magnetons per cell: 11.07

DyFe4Os after structural relaxation, computed with PBE-GGA.

The structure in CIF format:
```
data_DyFe4Os
_chemical_formula_sum 'Dy4 Fe16 Os4'
_cell_length_a 7.005
_cell_length_b 7.005
_cell_length_c 7.005
_cell_angle_alpha 90.00
_cell_angle_beta 90.00
_cell_angle_gamma 90.00
_space_group_name_H-M_alt 'F -4 3 m'
_space_group_IT_number 216
_space_group_name_Hall 'F -4 2 3'
loop_
_atom_site_label
_atom_site_type_symbol
_atom_site_fract_x
_atom_site_fract_y
_atom_site_fract_z
_atom_site_occupancy
Dy1 Dy 0.000 0.000 0.000 1
Fe1 Fe 0.124 0.124 0.624 1
Os1 Os 0.250 0.250 0.250 1
```

Energy of formation in eV/f.u.: 0.4
Magnetic moment in Bohr magnetons per cell: 41.57

Dy2FeOs3 after structural relaxation, computed with PBE-GGA.

The structure in CIF format:
```
data_Dy2FeOs3
_chemical_formula_sum 'Dy4 Fe2 Os6'
_cell_length_a 9.105
_cell_length_b 5.334
_cell_length_c 5.278
_cell_angle_alpha 90.00
_cell_angle_beta 124.36
_cell_angle_gamma 90.00
_space_group_name_H-M_alt 'C 1 2/m 1'
_space_group_IT_number 12
_space_group_name_Hall '-C 2y'
loop_
_atom_site_label
_atom_site_type_symbol
_atom_site_fract_x
_atom_site_fract_y
_atom_site_fract_z
_atom_site_occupancy
Dy1 Dy 0.124 0.000 0.376 1
Fe1 Fe 0.000 0.500 0.000 1
Os1 Os 0.000 0.500 0.500 1
Os2 Os 0.250 0.250 0.000 1
```

Energy of formation in eV/f.u.: -1.6
Magnetic moment in Bohr magnetons per cell: 4.13

DyFeP2Os after structural relaxation, computed with PBE-GGA.

The structure in CIF format:
```
data_DyFeP2Os
_chemical_formula_sum 'Dy2 Fe2 P4 Os2'
_cell_length_a 3.963
_cell_length_b 3.963
_cell_length_c 9.558
_cell_angle_alpha 90.00
_cell_angle_beta 90.00
_cell_angle_gamma 90.00
_space_group_name_H-M_alt 'I -4 m 2'
_space_group_IT_number 119
_space_group_name_Hall 'I -4 -2'
loop_
_atom_site_label
_atom_site_type_symbol
_atom_site_fract_x
_atom_site_fract_y
_atom_site_fract_z
_atom_site_occupancy
Dy1 Dy 0.000 0.000 0.000 1
Fe1 Fe 0.000 0.500 0.250 1
P1 P 0.000 0.000 0.373 1
Os1 Os 0.000 0.500 0.750 1
```

Energy of formation in eV/f.u.: -4.3
Magnetic moment in Bohr magnetons per cell: 0.00